The following is a meta-GGA SCAN calculation of a crystal of SrBSCl2 relaxed with PBEsol, from Alexandria via LeMat-Bulk.

a b c (Å): 5.4626 5.4626 5.7425
angles (deg): 90.00 90.00 90.00
Closest atoms and distances in Å follow each position.
Atoms (fractional coordinates):
Cl: 0.0000 0.5000 0.0000  2 Sr 2.73
Cl: 0.5000 0.0000 0.0000  2 Sr 2.73
Sr: 0.0000 0.0000 0.0000  4 Cl 2.73, 2 S 2.87
B: 0.5000 0.5000 0.5000  4 S 3.86, 8 Cl 3.96
S: 0.0000 0.0000 0.5000  2 Sr 2.87

Summary:
V: 34.27 Å³ per atom
N(E_F): 3.8 states/eV/f.u.
spin magnetization: 0.200 μB/atom
energy relative to the elements, uncorrected: 0.046 eV per atom